# 1
A relaxed YSn3Cl crystal. Source: Alexandria, functional PBE-GGA.

Properties
**Symmetry**: Pm-3m, No. 221
**Formation energy from raw total energies**: 391 meV per atom
**Crystal system**: cubic
**Mass density**: 3.83 g/cm3

The structure in CIF format:
```
data_YSn3Cl
_chemical_formula_sum 'Y1 Sn3 Cl1'
_symmetry_space_group_name_H-M 'P 1'
_symmetry_Int_Tables_number 1
_symmetry_space_group_name_Hall 'P 1'
_cell_length_a 5.928
_cell_length_b 5.928
_cell_length_c 5.928
_cell_angle_alpha 90.00
_cell_angle_beta 90.00
_cell_angle_gamma 90.00
loop_
_atom_site_label
_atom_site_type_symbol
_atom_site_fract_x
_atom_site_fract_y
_atom_site_fract_z
Y1 Y 0.000 0.000 0.000
Sn1 Sn 0.000 0.000 0.500
Sn2 Sn 0.000 0.500 0.000
Sn3 Sn 0.500 0.000 0.000
Cl1 Cl 0.500 0.500 0.500
```

=====

# 2
A relaxed MnFeP2 crystal. Source: Alexandria, functional PBE-GGA.

Properties
**Symmetry**: I-42d, No. 122
**Crystal system**: tetragonal
**ΔH_f (0 K)**: -0.01 eV/atom
**Mass density**: 4.41 g/cm3

The structure in CIF format:
```
data_MnFeP2
_chemical_formula_sum 'Mn4 Fe4 P8'
_symmetry_space_group_name_H-M 'P 1'
_symmetry_Int_Tables_number 1
_symmetry_space_group_name_Hall 'P 1'
_cell_length_a 5.107
_cell_length_b 5.107
_cell_length_c 9.971
_cell_angle_alpha 90.00
_cell_angle_beta 90.00
_cell_angle_gamma 90.00
loop_
_atom_site_label
_atom_site_type_symbol
_atom_site_fract_x
_atom_site_fract_y
_atom_site_fract_z
Mn1 Mn 0.000 0.000 0.000
Mn2 Mn 0.000 0.500 0.250
Mn3 Mn 0.500 0.000 0.750
Mn4 Mn 0.500 0.500 0.500
Fe1 Fe 0.000 0.000 0.500
Fe2 Fe 0.000 0.500 0.750
Fe3 Fe 0.500 0.000 0.250
Fe4 Fe 0.500 0.500 0.000
P1 P 0.235 0.250 0.625
P2 P 0.250 0.735 0.875
P3 P 0.250 0.765 0.375
P4 P 0.265 0.250 0.125
P5 P 0.735 0.750 0.125
P6 P 0.750 0.235 0.375
P7 P 0.750 0.265 0.875
P8 P 0.765 0.750 0.625
```

=====

# 3
A relaxed NpNi5B2 crystal. Source: Alexandria, functional PBE-GGA.

Properties
**Symmetry**: Immm, No. 71
**Crystal system**: orthorhombic
**ΔH_f (0 K)**: -0.26 eV/atom
**Mass density**: 10.24 g/cm3

The structure in CIF format:
```
data_NpNi5B2
_chemical_formula_sum 'Np2 Ni10 B4'
_symmetry_space_group_name_H-M 'P 1'
_symmetry_Int_Tables_number 1
_symmetry_space_group_name_Hall 'P 1'
_cell_length_a 3.415
_cell_length_b 6.222
_cell_length_c 8.426
_cell_angle_alpha 90.00
_cell_angle_beta 90.00
_cell_angle_gamma 90.00
loop_
_atom_site_label
_atom_site_type_symbol
_atom_site_fract_x
_atom_site_fract_y
_atom_site_fract_z
Np1 Np 0.000 0.000 0.000
Np2 Np 0.500 0.500 0.500
Ni1 Ni 0.000 0.192 0.343
Ni2 Ni 0.000 0.192 0.657
Ni3 Ni 0.000 0.500 0.000
Ni4 Ni 0.000 0.808 0.343
Ni5 Ni 0.000 0.808 0.657
Ni6 Ni 0.500 0.000 0.500
Ni7 Ni 0.500 0.308 0.157
Ni8 Ni 0.500 0.308 0.843
Ni9 Ni 0.500 0.692 0.157
Ni10 Ni 0.500 0.692 0.843
B1 B 0.000 0.500 0.241
B2 B 0.000 0.500 0.759
B3 B 0.500 0.000 0.259
B4 B 0.500 0.000 0.741
```

=====

# 4
A relaxed BaLi2IrO6 crystal. Source: Alexandria, functional PBE-GGA.

Properties
**Symmetry**: R3, No. 146
**Formation energy from raw total energies**: -1374 meV per atom
**Crystal system**: trigonal
**Mass density**: 5.52 g/cm3

The structure in CIF format:
```
data_BaLi2IrO6
_chemical_formula_sum 'Ba1 Li2 Ir1 O6'
_symmetry_space_group_name_H-M 'P 1'
_symmetry_Int_Tables_number 1
_symmetry_space_group_name_Hall 'P 1'
_cell_length_a 5.733
_cell_length_b 5.733
_cell_length_c 5.733
_cell_angle_alpha 59.64
_cell_angle_beta 59.64
_cell_angle_gamma 59.64
loop_
_atom_site_label
_atom_site_type_symbol
_atom_site_fract_x
_atom_site_fract_y
_atom_site_fract_z
Ba1 Ba 0.000 0.000 0.000
Li1 Li 0.287 0.287 0.287
Li2 Li 0.713 0.713 0.713
Ir1 Ir 0.501 0.501 0.501
O1 O 0.124 0.492 0.654
O2 O 0.349 0.878 0.510
O3 O 0.492 0.654 0.124
O4 O 0.510 0.349 0.878
O5 O 0.654 0.124 0.492
O6 O 0.878 0.510 0.349
```

=====

# 5
A relaxed Zn2CrN2 crystal. Source: Alexandria, functional PBE-GGA.

Properties
**Symmetry**: C2/m, No. 12
**Formation energy from raw total energies**: 133 meV per atom
**Crystal system**: monoclinic
**Mass density**: 5.59 g/cm3

The structure in CIF format:
```
data_Zn2CrN2
_chemical_formula_sum 'Zn4 Cr2 N4'
_symmetry_space_group_name_H-M 'P 1'
_symmetry_Int_Tables_number 1
_symmetry_space_group_name_Hall 'P 1'
_cell_length_a 5.514
_cell_length_b 5.514
_cell_length_c 6.669
_cell_angle_alpha 116.06
_cell_angle_beta 116.06
_cell_angle_gamma 44.56
loop_
_atom_site_label
_atom_site_type_symbol
_atom_site_fract_x
_atom_site_fract_y
_atom_site_fract_z
Zn1 Zn 0.045 0.045 0.314
Zn2 Zn 0.294 0.294 0.226
Zn3 Zn 0.706 0.706 0.774
Zn4 Zn 0.955 0.955 0.686
Cr1 Cr 0.362 0.362 0.858
Cr2 Cr 0.638 0.638 0.142
N1 N 0.167 0.167 0.662
N2 N 0.476 0.476 0.182
N3 N 0.524 0.524 0.818
N4 N 0.833 0.833 0.338
```

=====

# 6
A relaxed FeC5 crystal. Source: Alexandria, functional PBE-GGA.

Properties
**Symmetry**: P6/mmm, No. 191
**Crystal system**: hexagonal
**ΔH_f (0 K)**: 2.45 eV/atom
**Mass density**: 2.87 g/cm3

The structure in CIF format:
```
data_FeC5
_chemical_formula_sum 'Fe1 C5'
_symmetry_space_group_name_H-M 'P 1'
_symmetry_Int_Tables_number 1
_symmetry_space_group_name_Hall 'P 1'
_cell_length_a 3.208
_cell_length_b 3.208
_cell_length_c 7.512
_cell_angle_alpha 90.00
_cell_angle_beta 90.00
_cell_angle_gamma 120.00
loop_
_atom_site_label
_atom_site_type_symbol
_atom_site_fract_x
_atom_site_fract_y
_atom_site_fract_z
Fe1 Fe 0.000 0.000 0.000
C1 C 0.000 0.500 0.500
C2 C 0.333 0.667 0.000
C3 C 0.500 0.000 0.500
C4 C 0.500 0.500 0.500
C5 C 0.667 0.333 0.000
```

=====

# 7
A relaxed Y3CuSn crystal. Source: Alexandria, functional PBE-GGA.

Properties
**Symmetry**: Cm, No. 8
**Crystal system**: monoclinic
**ΔH_f (0 K)**: -0.39 eV/atom
**Mass density**: 5.56 g/cm3

The structure in CIF format:
```
data_Y3CuSn
_chemical_formula_sum 'Y6 Cu2 Sn2'
_symmetry_space_group_name_H-M 'P 1'
_symmetry_Int_Tables_number 1
_symmetry_space_group_name_Hall 'P 1'
_cell_length_a 8.473
_cell_length_b 8.473
_cell_length_c 8.764
_cell_angle_alpha 92.28
_cell_angle_beta 92.28
_cell_angle_gamma 25.24
loop_
_atom_site_label
_atom_site_type_symbol
_atom_site_fract_x
_atom_site_fract_y
_atom_site_fract_z
Y1 Y 0.000 0.000 0.000
Y2 Y 0.214 0.214 0.598
Y3 Y 0.303 0.303 0.007
Y4 Y 0.517 0.517 0.605
Y5 Y 0.656 0.656 0.254
Y6 Y 0.861 0.861 0.351
Cu1 Cu 0.047 0.047 0.367
Cu2 Cu 0.469 0.469 0.239
Sn1 Sn 0.647 0.647 0.882
Sn2 Sn 0.870 0.870 0.723
```

=====

# 8
A relaxed Ca3Tb2UN6 crystal. Source: Alexandria, functional PBE-GGA.

Properties
**Symmetry**: C2/m, No. 12
**Formation energy from raw total energies**: -1436 meV per atom
**Crystal system**: monoclinic
**Mass density**: 6.96 g/cm3

The structure in CIF format:
```
data_Ca3Tb2UN6
_chemical_formula_sum 'Ca3 Tb2 U1 N6'
_symmetry_space_group_name_H-M 'P 1'
_symmetry_Int_Tables_number 1
_symmetry_space_group_name_Hall 'P 1'
_cell_length_a 6.053
_cell_length_b 6.053
_cell_length_c 6.063
_cell_angle_alpha 99.62
_cell_angle_beta 99.62
_cell_angle_gamma 120.01
loop_
_atom_site_label
_atom_site_type_symbol
_atom_site_fract_x
_atom_site_fract_y
_atom_site_fract_z
Ca1 Ca 0.000 0.000 0.000
Ca2 Ca 0.334 0.666 0.000
Ca3 Ca 0.666 0.334 0.000
Tb1 Tb 0.167 0.833 0.500
Tb2 Tb 0.833 0.167 0.500
U1 U 0.500 0.500 0.500
N1 N 0.118 0.427 0.279
N2 N 0.266 0.266 0.715
N3 N 0.427 0.118 0.279
N4 N 0.573 0.882 0.721
N5 N 0.734 0.734 0.285
N6 N 0.882 0.573 0.721
```

=====

# 9
A relaxed La6Ho2In crystal. Source: Alexandria, functional PBE-GGA.

Properties
**Symmetry**: C2/m, No. 12
**Crystal system**: monoclinic
**ΔH_f (0 K)**: -0.04 eV/atom
**Mass density**: 6.94 g/cm3

The structure in CIF format:
```
data_La6Ho2In
_chemical_formula_sum 'La6 Ho2 In1'
_symmetry_space_group_name_H-M 'P 1'
_symmetry_Int_Tables_number 1
_symmetry_space_group_name_Hall 'P 1'
_cell_length_a 9.610
_cell_length_b 9.610
_cell_length_c 5.996
_cell_angle_alpha 98.72
_cell_angle_beta 98.72
_cell_angle_gamma 141.51
loop_
_atom_site_label
_atom_site_type_symbol
_atom_site_fract_x
_atom_site_fract_y
_atom_site_fract_z
La1 La 0.031 0.347 0.342
La2 La 0.197 0.197 0.847
La3 La 0.347 0.031 0.342
La4 La 0.653 0.969 0.658
La5 La 0.803 0.803 0.153
La6 La 0.969 0.653 0.658
Ho1 Ho 0.323 0.677 0.000
Ho2 Ho 0.677 0.323 0.000
In1 In 0.500 0.500 0.500
```

=====

# 10
A relaxed Pm15YSc4 crystal. Source: Alexandria, functional PBE-GGA.

Properties
**Symmetry**: P4/mmm, No. 123
**Crystal system**: tetragonal
**ΔH_f (0 K)**: 0.03 eV/atom
**Mass density**: 6.33 g/cm3

The structure in CIF format:
```
data_Pm15YSc4
_chemical_formula_sum 'Pm15 Y1 Sc4'
_symmetry_space_group_name_H-M 'P 1'
_symmetry_Int_Tables_number 1
_symmetry_space_group_name_Hall 'P 1'
_cell_length_a 5.047
_cell_length_b 5.047
_cell_length_c 25.156
_cell_angle_alpha 90.00
_cell_angle_beta 90.00
_cell_angle_gamma 90.00
loop_
_atom_site_label
_atom_site_type_symbol
_atom_site_fract_x
_atom_site_fract_y
_atom_site_fract_z
Pm1 Pm 0.000 0.000 0.000
Pm2 Pm 0.000 0.000 0.203
Pm3 Pm 0.000 0.000 0.401
Pm4 Pm 0.000 0.000 0.599
Pm5 Pm 0.000 0.000 0.797
Pm6 Pm 0.000 0.500 0.103
Pm7 Pm 0.000 0.500 0.302
Pm8 Pm 0.000 0.500 0.500
Pm9 Pm 0.000 0.500 0.698
Pm10 Pm 0.000 0.500 0.897
Pm11 Pm 0.500 0.000 0.103
Pm12 Pm 0.500 0.000 0.302
Pm13 Pm 0.500 0.000 0.500
Pm14 Pm 0.500 0.000 0.698
Pm15 Pm 0.500 0.000 0.897
Y1 Y 0.500 0.500 0.000
Sc1 Sc 0.500 0.500 0.202
Sc2 Sc 0.500 0.500 0.401
Sc3 Sc 0.500 0.500 0.599
Sc4 Sc 0.500 0.500 0.798
```

=====

# 11
A relaxed NdDyHg6 crystal. Source: Alexandria, functional PBE-GGA.

Properties
**Symmetry**: Amm2, No. 38
**Crystal system**: orthorhombic
**ΔH_f (0 K)**: -0.36 eV/atom
**Mass density**: 12.68 g/cm3

The structure in CIF format:
```
data_NdDyHg6
_chemical_formula_sum 'Nd2 Dy2 Hg12'
_symmetry_space_group_name_H-M 'P 1'
_symmetry_Int_Tables_number 1
_symmetry_space_group_name_Hall 'P 1'
_cell_length_a 5.040
_cell_length_b 6.769
_cell_length_c 11.599
_cell_angle_alpha 90.00
_cell_angle_beta 90.00
_cell_angle_gamma 90.00
loop_
_atom_site_label
_atom_site_type_symbol
_atom_site_fract_x
_atom_site_fract_y
_atom_site_fract_z
Nd1 Nd 0.000 0.000 0.000
Nd2 Nd 0.000 0.500 0.500
Dy1 Dy 0.500 0.000 0.325
Dy2 Dy 0.500 0.500 0.825
Hg1 Hg 0.000 0.000 0.492
Hg2 Hg 0.000 0.247 0.747
Hg3 Hg 0.000 0.253 0.247
Hg4 Hg 0.000 0.500 0.992
Hg5 Hg 0.000 0.747 0.247
Hg6 Hg 0.000 0.753 0.747
Hg7 Hg 0.500 0.000 0.827
Hg8 Hg 0.500 0.240 0.580
Hg9 Hg 0.500 0.260 0.080
Hg10 Hg 0.500 0.500 0.327
Hg11 Hg 0.500 0.740 0.080
Hg12 Hg 0.500 0.760 0.580
```

=====

# 12
A relaxed Na4EuGe2Se6 crystal. Source: Alexandria, functional PBE-GGA.

Properties
**Symmetry**: C2, No. 5
**Formation energy from raw total energies**: -1011 meV per atom
**Crystal system**: monoclinic
**Mass density**: 4.14 g/cm3

The structure in CIF format:
```
data_Na4EuGe2Se6
_chemical_formula_sum 'Na4 Eu1 Ge2 Se6'
_symmetry_space_group_name_H-M 'P 1'
_symmetry_Int_Tables_number 1
_symmetry_space_group_name_Hall 'P 1'
_cell_length_a 7.189
_cell_length_b 7.189
_cell_length_c 8.089
_cell_angle_alpha 98.52
_cell_angle_beta 98.52
_cell_angle_gamma 119.91
loop_
_atom_site_label
_atom_site_type_symbol
_atom_site_fract_x
_atom_site_fract_y
_atom_site_fract_z
Na1 Na 0.000 0.000 0.000
Na2 Na 0.341 0.659 0.000
Na3 Na 0.672 0.328 0.000
Na4 Na 0.837 0.163 0.500
Eu1 Eu 0.505 0.495 0.500
Ge1 Ge 0.120 0.777 0.341
Ge2 Ge 0.223 0.880 0.659
Se1 Se 0.093 0.430 0.250
Se2 Se 0.258 0.232 0.749
Se3 Se 0.405 0.067 0.250
Se4 Se 0.570 0.907 0.750
Se5 Se 0.768 0.742 0.251
Se6 Se 0.933 0.595 0.750
```

=====

Question: Which of these has the highest mass density?
Answer: NdDyHg6

=====

Please write out number 6 again, unchanged.
A relaxed FeC5 crystal. Source: Alexandria, functional PBE-GGA.

Properties
**Symmetry**: P6/mmm, No. 191
**Crystal system**: hexagonal
**ΔH_f (0 K)**: 2.45 eV/atom
**Mass density**: 2.87 g/cm3

The structure in CIF format:
```
data_FeC5
_chemical_formula_sum 'Fe1 C5'
_symmetry_space_group_name_H-M 'P 1'
_symmetry_Int_Tables_number 1
_symmetry_space_group_name_Hall 'P 1'
_cell_length_a 3.208
_cell_length_b 3.208
_cell_length_c 7.512
_cell_angle_alpha 90.00
_cell_angle_beta 90.00
_cell_angle_gamma 120.00
loop_
_atom_site_label
_atom_site_type_symbol
_atom_site_fract_x
_atom_site_fract_y
_atom_site_fract_z
Fe1 Fe 0.000 0.000 0.000
C1 C 0.000 0.500 0.500
C2 C 0.333 0.667 0.000
C3 C 0.500 0.000 0.500
C4 C 0.500 0.500 0.500
C5 C 0.667 0.333 0.000
```